[1]
# Mo4Pt3

A relaxed Mo4Pt3 crystal (GGA-PBE, Alexandria via LeMat-Bulk).

Output
crystal system = trigonal
space-group type = No. 148

Cell: 5.5260 7.0800 7.0800 Å, 113.48 105.08 105.08°
Sites, in units of the cell vectors:
Mo 0.5000 0.0000 0.0000
Mo 0.0000 0.0000 0.0000
Mo 0.9487 0.6765 0.5361
Mo 0.4126 0.4639 0.1403
Mo 0.2723 0.8597 0.3235
Mo 0.0513 0.3235 0.4639
Mo 0.5874 0.5361 0.8597
Mo 0.7277 0.1403 0.6765
Pt 0.0918 0.5969 0.8825
Pt 0.2093 0.1175 0.7143
Pt 0.4950 0.2857 0.4031
Pt 0.9082 0.4031 0.1175
Pt 0.7907 0.8825 0.2857
Pt 0.5050 0.7143 0.5969


[2]
# Mo8Pt

A relaxed Mo8Pt crystal (GGA-PBE, Alexandria via LeMat-Bulk).

Output
crystal system = tetragonal
space-group type = No. 139

Cell: 6.8720 6.8720 6.8720 Å, 93.13 93.13 152.99°
Sites, in units of the cell vectors:
Mo 0.3320 0.0000 0.3320
Mo 0.6680 0.0000 0.6680
Mo 0.0000 0.6680 0.6680
Mo 0.3282 0.6718 0.0000
Mo 0.6718 0.6718 0.3435
Mo 0.0000 0.3320 0.3320
Mo 0.3282 0.3282 0.6565
Mo 0.6718 0.3282 0.0000
Pt 0.0000 0.0000 0.0000


[3]
# MoPt5

A relaxed MoPt5 crystal (GGA-PBE, Alexandria via LeMat-Bulk).

Output
crystal system = orthorhombic
space-group type = No. 38

Cell: 7.4251 7.4251 4.5832 Å, 90.00 90.00 158.16°
Sites, in units of the cell vectors:
Mo 0.9972 0.0028 0.0000
Pt 0.2246 0.7754 0.5000
Pt 0.3366 0.6634 0.0000
Pt 0.5563 0.4437 0.5000
Pt 0.6602 0.3398 0.0000
Pt 0.8918 0.1082 0.5000


[4]
# Mo4Pt3

A relaxed Mo4Pt3 crystal (GGA-PBE, Alexandria via LeMat-Bulk).

Output
crystal system = hexagonal
space-group type = No. 191

Cell: 5.1412 5.1412 4.9098 Å, 90.00 90.00 120.00°
Sites, in units of the cell vectors:
Mo 0.0000 0.0000 0.2707
Mo 0.0000 0.0000 0.7293
Mo 0.6667 0.3333 0.5000
Mo 0.3333 0.6667 0.5000
Pt 0.0000 0.5000 0.0000
Pt 0.5000 0.5000 0.0000
Pt 0.5000 0.0000 0.0000


[5]
# MoPt

A relaxed MoPt crystal (GGA-PBE, Alexandria via LeMat-Bulk).

Output
crystal system = tetragonal
space-group type = No. 129

Cell: 3.3327 3.3327 5.7028 Å, 90.00 90.00 90.00°
Sites, in units of the cell vectors:
Mo 0.0000 0.0000 0.9934
Mo 0.5000 0.5000 0.2566
Pt 0.0000 0.0000 0.4975
Pt 0.5000 0.5000 0.7525


[6]
# Mo4Pt5

A relaxed Mo4Pt5 crystal (GGA-PBE, Alexandria via LeMat-Bulk).

Output
crystal system = hexagonal
space-group type = No. 193

Cell: 7.7430 7.7430 5.5182 Å, 90.00 90.00 60.00°
Sites, in units of the cell vectors:
Mo 0.0000 0.0000 0.0000
Mo 0.0000 0.0000 0.5000
Mo 0.6736 0.3264 0.2500
Mo 0.0000 0.6736 0.2500
Mo 0.3264 0.0000 0.2500
Mo 0.3264 0.6736 0.7500
Mo 0.0000 0.3264 0.7500
Mo 0.6736 0.0000 0.7500
Pt 0.3314 0.6686 0.2500
Pt 0.0000 0.3314 0.2500
Pt 0.6686 0.0000 0.2500
Pt 0.6686 0.3314 0.7500
Pt 0.0000 0.6686 0.7500
Pt 0.3314 0.0000 0.7500
Pt 0.3333 0.3333 0.0000
Pt 0.6667 0.6667 0.5000
Pt 0.6667 0.6667 0.0000
Pt 0.3333 0.3333 0.5000


[7]
# MoPt

A relaxed MoPt crystal (GGA-PBE, Alexandria via LeMat-Bulk).

Output
crystal system = hexagonal
space-group type = No. 194

Cell: 4.4596 4.4596 7.9050 Å, 90.00 90.00 120.00°
Sites, in units of the cell vectors:
Mo 0.3333 0.6667 0.0918
Mo 0.6667 0.3333 0.5918
Mo 0.6667 0.3333 0.9082
Mo 0.3333 0.6667 0.4082
Pt 0.0000 0.0000 0.2500
Pt 0.0000 0.0000 0.7500
Pt 0.3333 0.6667 0.7500
Pt 0.6667 0.3333 0.2500


[8]
# MoPt5

A relaxed MoPt5 crystal (GGA-PBE, Alexandria via LeMat-Bulk).

Output
crystal system = orthorhombic
space-group type = No. 65

Cell: 6.2836 6.2836 3.9913 Å, 90.00 90.00 143.51°
Sites, in units of the cell vectors:
Mo 0.9722 0.0278 0.0000
Pt 0.8085 0.1915 0.5000
Pt 0.6315 0.3685 0.0000
Pt 0.4722 0.5278 0.5000
Pt 0.3130 0.6870 0.0000
Pt 0.1359 0.8641 0.5000


Number 1: N(E_F) 1.0116 states/eV/atom, energy of formation -40 meV per atom, final energy -8.8186 eV per atom. Number 2: N(E_F) 1.0092 states/eV/atom, energy of formation 37 meV per atom, final energy -10.2622 eV per atom. Number 3: N(E_F) 1.1387 states/eV/atom, energy of formation -148 meV per atom, final energy -6.9877 eV per atom. Number 4: N(E_F) 0.8843 states/eV/atom, energy of formation -4 meV per atom, final energy -8.7823 eV per atom. Number 5: N(E_F) 1.1543 states/eV/atom, energy of formation -107 meV per atom, final energy -8.5431 eV per atom. Number 6: N(E_F) 1.1039 states/eV/atom, energy of formation -95 meV per atom, final energy -8.2652 eV per atom. Number 7: N(E_F) 1.5893 states/eV/atom, energy of formation 278 meV per atom, final energy -8.1575 eV per atom. Number 8: N(E_F) 1.2160 states/eV/atom, energy of formation -214 meV per atom, final energy -7.0528 eV per atom.